{
  "formula": "Ca2Tl5Zn",
  "functional": "GGA-PBE",
  "state": "optimized geometry",
  "ef_ev_per_atom": -0.191,
  "crystal_system": "orthorhombic",
  "cell": [[4.2925, 0.0000, 0.0000], [0.0000, 7.1799, 0.0000], [0.0000, 0.0000, 14.4213]],
  "species": ["Tl", "Tl", "Tl", "Tl", "Tl", "Tl", "Tl", "Tl", "Tl", "Tl", "Ca", "Ca", "Ca", "Ca", "Zn", "Zn"],
  "frac_coords": [[0.5000, 0.7191, 0.1153], [0.5000, 0.2191, 0.3847], [0.0000, 0.9855, 0.2436], [0.0000, 0.5145, 0.7436], [0.0000, 0.4855, 0.2564], [0.5000, 0.7809, 0.6153], [0.5000, 0.2809, 0.8847], [0.0000, 0.0145, 0.7564], [0.0000, 0.0000, 0.0000], [0.0000, 0.5000, 0.5000], [0.5000, 0.7513, 0.3775], [0.5000, 0.7487, 0.8775], [0.5000, 0.2487, 0.6225], [0.5000, 0.2513, 0.1225], [0.0000, 0.0000, 0.5000], [0.0000, 0.5000, 0.0000]]
}

---

{
  "formula": "Ca4Tl2Zn",
  "functional": "GGA-PBE",
  "state": "optimized geometry",
  "ef_ev_per_atom": -0.290,
  "crystal_system": "trigonal",
  "cell": [[-0.0565, 0.5207, 5.3259], [4.6061, 0.2535, 2.7128], [1.5389, 9.0657, 1.8187]],
  "species": ["Ca", "Ca", "Ca", "Ca", "Tl", "Tl", "Zn"],
  "frac_coords": [[0.3736, 0.3736, 0.8793], [0.1240, 0.1240, 0.6279], [0.6264, 0.6264, 0.1207], [0.8760, 0.8760, 0.3721], [0.2503, 0.2503, 0.2490], [0.7497, 0.7497, 0.7510], [0.0000, 0.0000, 0.0000]]
}

---

{
  "formula": "CaTl2Zn2",
  "functional": "GGA-PBE",
  "state": "optimized geometry",
  "relative_energy_kcal_per_mol_atoms": 2.77,
  "ef_ev_per_atom": 0.010,
  "crystal_system": "tetragonal",
  "cell": [[-2.2744, 3.0601, 7.4711], [-7.6932, -3.1757, -1.0412], [1.0457, -3.0468, 1.5663]],
  "species": ["Tl", "Tl", "Tl", "Tl", "Ca", "Ca", "Zn", "Zn", "Zn", "Zn"],
  "frac_coords": [[0.6380, 0.1380, 0.0000], [0.8620, 0.6380, 0.0000], [0.1380, 0.3620, 0.0000], [0.3620, 0.8620, 0.0000], [0.5000, 0.5000, 0.0000], [0.0000, 0.0000, 0.0000], [0.1595, 0.6595, 0.5000], [0.6595, 0.8405, 0.5000], [0.8405, 0.3405, 0.5000], [0.3405, 0.1595, 0.5000]]
}

---

{
  "formula": "Ca3Tl2Zn2",
  "functional": "GGA-PBE",
  "state": "optimized geometry",
  "ef_ev_per_atom": -0.344,
  "crystal_system": "orthorhombic",
  "cell": [[4.2523, 0.0000, 0.5643], [0.0000, 3.8070, 0.0000], [0.6307, 0.0000, 11.5509]],
  "species": ["Ca", "Ca", "Ca", "Zn", "Zn", "Tl", "Tl"],
  "frac_coords": [[0.8346, 0.0000, 0.3309], [0.1654, 0.0000, 0.6691], [0.0000, 0.0000, 0.0000], [0.2785, 0.5000, 0.4429], [0.7215, 0.5000, 0.5571], [0.5844, 0.5000, 0.8311], [0.4156, 0.5000, 0.1689]]
}

---

E values, unit eV/atom, following the record order: -2.33; -2.29; -1.85; -2.24.